[1]
{"formula": "Ti7Zn2Tc3", "functional": "PBE", "state": "optimized geometry", "lattice": [[-1.9345, 1.4415, -1.8708], [-1.8455, -4.0420, -1.2062], [-8.2500, 3.1246, 10.9387]], "species": ["Ti", "Ti", "Ti", "Ti", "Ti", "Ti", "Ti", "Zn", "Zn", "Tc", "Tc", "Tc"], "frac_coords": [[0.0000, 0.4245, 0.8490], [0.0000, 0.7253, 0.4506], [0.0000, 0.0000, 0.0000], [0.0000, 0.5755, 0.1510], [0.5000, 0.0869, 0.1738], [0.5000, 0.9131, 0.8262], [0.0000, 0.2747, 0.5494], [0.0000, 0.8281, 0.6562], [0.0000, 0.1719, 0.3438], [0.5000, 0.5000, 0.0000], [0.5000, 0.6512, 0.3024], [0.5000, 0.3488, 0.6976]]}

[2]
{"formula": "Ti4ZnTc", "functional": "PBE", "state": "optimized geometry", "lattice": [[-1.1222, 2.6815, 1.1800], [-3.7252, 1.8232, -3.5155], [-2.6687, -1.9586, 6.0835]], "species": ["Ti", "Ti", "Ti", "Ti", "Zn", "Tc"], "frac_coords": [[0.8398, 0.5028, 0.8176], [0.3224, 0.0180, 0.3373], [0.1602, 0.4972, 0.1824], [0.6776, 0.9820, 0.6627], [0.0000, 0.0000, 0.0000], [0.5000, 0.5000, 0.5000]], "relative_energy_mev_per_atom": 0}

[3]
{"formula": "Ti2Zn2Tc", "functional": "PBE", "state": "optimized geometry", "lattice": [[-2.6596, 1.6805, 0.3124], [0.4663, 0.1144, 3.3549], [4.0596, 6.2512, 0.9345]], "species": ["Ti", "Ti", "Zn", "Zn", "Tc"], "frac_coords": [[0.5000, 0.4031, 0.1939], [0.5000, 0.5969, 0.8061], [0.0000, 0.1919, 0.6162], [0.0000, 0.8081, 0.3838], [0.0000, 0.0000, 0.0000]], "relative_energy_mev_per_atom": 0}

[4]
{"formula": "Ti5Zn4Tc", "functional": "PBE", "state": "optimized geometry", "lattice": [[-2.2963, -2.1714, 0.1440], [-0.1192, -0.0836, -3.1603], [10.6175, -11.2347, -0.1033]], "species": ["Ti", "Ti", "Ti", "Ti", "Ti", "Zn", "Zn", "Zn", "Zn", "Tc"], "frac_coords": [[0.5000, 0.5000, 0.0943], [0.5000, 0.5000, 0.2983], [0.5000, 0.5000, 0.5000], [0.5000, 0.5000, 0.7017], [0.5000, 0.5000, 0.9057], [0.0000, 0.0000, 0.1975], [0.0000, 0.0000, 0.3997], [0.0000, 0.0000, 0.6003], [0.0000, 0.0000, 0.8025], [0.0000, 0.0000, 0.0000]]}

[5]
{"formula": "Ti2Zn2Tc", "functional": "PBE", "state": "optimized geometry", "lattice": [[-4.5460, -4.9368, -0.9226], [4.8711, -4.0311, -2.4316], [0.6031, -1.1318, 3.0844]], "species": ["Zn", "Zn", "Zn", "Zn", "Tc", "Tc", "Ti", "Ti", "Ti", "Ti"], "frac_coords": [[0.3760, 0.8760, 0.0000], [0.8760, 0.6240, 0.0000], [0.6240, 0.1240, 0.0000], [0.1240, 0.3760, 0.0000], [0.0000, 0.0000, 0.0000], [0.5000, 0.5000, 0.0000], [0.1816, 0.6816, 0.5000], [0.6816, 0.8184, 0.5000], [0.8184, 0.3184, 0.5000], [0.3184, 0.1816, 0.5000]], "relative_energy_mev_per_atom": 158}

[6]
{"formula": "TiZnTc2", "functional": "PBE", "state": "optimized geometry", "lattice": [[6.9227, 0.0000, 0.0000], [0.0000, 6.9227, 0.0000], [3.4614, 3.4614, 2.6405]], "species": ["Zn", "Zn", "Tc", "Tc", "Tc", "Tc", "Ti", "Ti"], "frac_coords": [[0.0000, 0.0000, 0.0000], [0.7500, 0.2500, 0.5000], [0.6217, 0.1250, 0.2500], [0.1283, 0.6250, 0.2500], [0.3750, 0.3783, 0.7500], [0.8750, 0.8717, 0.7500], [0.5000, 0.5000, 0.0000], [0.2500, 0.7500, 0.5000]]}

[7]
{"formula": "Ti4Zn3Tc", "functional": "PBE", "state": "optimized geometry", "lattice": [[-1.7122, -2.4313, 1.0861], [1.6575, 0.0375, 2.6969], [-8.1186, 7.8972, 4.8798]], "species": ["Zn", "Zn", "Zn", "Tc", "Ti", "Ti", "Ti", "Ti"], "frac_coords": [[0.5000, 0.5000, 0.2473], [0.5000, 0.5000, 0.5000], [0.5000, 0.5000, 0.7527], [0.5000, 0.5000, 0.0000], [0.0000, 0.0000, 0.8819], [0.0000, 0.0000, 0.1181], [0.0000, 0.0000, 0.3736], [0.0000, 0.0000, 0.6264]]}

[8]
{"formula": "TiZnTc2", "functional": "PBE", "state": "optimized geometry", "lattice": [[-2.4747, 0.9044, 2.9296], [-2.8135, -1.9270, -1.7817], [1.0238, -3.2110, 1.8561]], "species": ["Zn", "Tc", "Tc", "Ti"], "frac_coords": [[0.5000, 0.0000, 0.0000], [0.0000, 0.0000, 0.5000], [0.0000, 0.5000, 0.0000], [0.5000, 0.5000, 0.5000]]}

| no. | E_form (meV per atom) |
| --- | --- |
| 1 | -19.3 |
| 2 | -261.8 |
| 3 | -201.4 |
| 4 | -278.0 |
| 5 | -43.4 |
| 6 | 466.0 |
| 7 | -300.5 |
| 8 | -119.0 |